Record 1
Computed, not measured: a relaxed DyAlAg crystal at the PBE level of DFT.

Geometry as POSCAR:
```
DyAlAg
1.0
10.479 0.000 0.000
0.000 4.583 0.000
-4.751 0.000 5.431
Dy Al Ag
4 4 4
direct
0.040 0.000 0.296 Dy
0.460 0.500 0.704 Dy
0.540 0.500 0.296 Dy
0.960 0.000 0.704 Dy
0.161 0.500 0.111 Al
0.339 0.000 0.889 Al
0.661 0.000 0.111 Al
0.839 0.500 0.889 Al
0.173 0.500 0.723 Ag
0.327 0.000 0.277 Ag
0.673 0.000 0.723 Ag
0.827 0.500 0.277 Ag
```

Summary:
- total magnetization (Bohr magnetons per cell) = 0.0
- energy (eV for the cell shown) = -49.56
- SG = C2/m, No. 12

=====

Record 2
Computed, not measured: a relaxed Sc2Pd2Pt crystal at the PBE level of DFT.

Geometry as POSCAR:
```
Sc2Pd2Pt
1.0
4.807 0.000 0.000
0.000 6.455 0.000
0.000 0.000 6.367
Sc Pd Pt
4 4 2
direct
0.000 0.000 0.239 Sc
0.000 0.000 0.761 Sc
0.500 0.500 0.239 Sc
0.500 0.500 0.761 Sc
0.000 0.310 0.500 Pd
0.000 0.690 0.500 Pd
0.500 0.190 0.500 Pd
0.500 0.810 0.500 Pd
0.000 0.500 0.000 Pt
0.500 0.000 0.000 Pt
```

Summary:
- total magnetization (Bohr magnetons per cell) = 0.0
- energy (eV for the cell shown) = -63.50
- SG = Cmmm, No. 65

=====

Record 3
Computed, not measured: a relaxed PmSm2H8 crystal at the PBE level of DFT.

Geometry as POSCAR:
```
PmSm2H8
1.0
-1.887 2.658 5.659
1.887 -2.658 5.659
1.887 2.658 -5.659
Pm Sm H
1 2 8
direct
0.000 0.000 0.000 Pm
0.331 0.331 0.000 Sm
0.669 0.669 0.000 Sm
0.101 0.839 0.262 H
0.159 0.659 0.500 H
0.272 0.500 0.772 H
0.423 0.161 0.262 H
0.577 0.839 0.738 H
0.728 0.500 0.228 H
0.841 0.341 0.500 H
0.899 0.161 0.738 H
```

Summary:
- total magnetization (Bohr magnetons per cell) = 0.0
- energy (eV for the cell shown) = -47.63
- SG = Immm, No. 71

=====

Record 4
Computed, not measured: a relaxed LiMg5Zn6 crystal at the PBE level of DFT.

Geometry as POSCAR:
```
LiMg5Zn6
1.0
-2.226 3.544 6.677
2.226 -3.544 6.677
2.226 3.544 -6.677
Li Mg Zn
1 5 6
direct
0.000 0.000 0.000 Li
0.168 0.668 0.500 Mg
0.334 0.334 0.000 Mg
0.500 0.000 0.500 Mg
0.666 0.666 0.000 Mg
0.832 0.332 0.500 Mg
0.082 0.838 0.244 Zn
0.240 0.500 0.740 Zn
0.406 0.162 0.244 Zn
0.594 0.838 0.756 Zn
0.760 0.500 0.260 Zn
0.918 0.162 0.756 Zn
```

Summary:
- total magnetization (Bohr magnetons per cell) = 0.0
- energy (eV for the cell shown) = -18.67
- SG = Immm, No. 71

=====

Record 5
Computed, not measured: a relaxed LaSmTmPb crystal at the PBE level of DFT.

Geometry as POSCAR:
```
LaSmTmPb
1.0
7.927 0.000 0.000
0.000 7.927 0.000
0.000 0.000 7.927
La Sm Tm Pb
4 4 4 4
direct
0.000 0.000 0.000 La
0.000 0.500 0.500 La
0.500 0.000 0.500 La
0.500 0.500 0.000 La
0.000 0.000 0.500 Sm
0.000 0.500 0.000 Sm
0.500 0.000 0.000 Sm
0.500 0.500 0.500 Sm
0.250 0.250 0.250 Tm
0.250 0.750 0.750 Tm
0.750 0.250 0.750 Tm
0.750 0.750 0.250 Tm
0.250 0.250 0.750 Pb
0.250 0.750 0.250 Pb
0.750 0.250 0.250 Pb
0.750 0.750 0.750 Pb
```

Summary:
- total magnetization (Bohr magnetons per cell) = 0.0
- energy (eV for the cell shown) = -73.87
- SG = F-43m, No. 216

=====

Record 6
Computed, not measured: a relaxed Ta2AsPt crystal at the PBE level of DFT.

Geometry as POSCAR:
```
Ta2AsPt
1.0
3.996 0.000 0.000
0.000 3.996 0.000
0.000 0.000 8.374
Ta As Pt
4 2 2
direct
0.000 0.500 0.250 Ta
0.000 0.500 0.750 Ta
0.500 0.000 0.250 Ta
0.500 0.000 0.750 Ta
0.000 0.000 0.000 As
0.500 0.500 0.500 As
0.000 0.000 0.500 Pt
0.500 0.500 0.000 Pt
```

Summary:
- total magnetization (Bohr magnetons per cell) = 0.0
- energy (eV for the cell shown) = -70.80
- SG = I4/mmm, No. 139

=====

Question: total magnetization of number 1 (DyAlAg)?
Answer: 0.0 Bohr magnetons per cell